No. 1
Tm5Ir2Au2 | PBE | optimized geometry

extended XYZ file:
```
18
Lattice="7.5141 0.0000 0.0000 0.0000 6.5841 -3.3847 0.0000 0.1334 8.3558" Properties=species:S:1:pos:R:3 pbc="T T T"
Tm 0.0000 0.0000 0.0000
Tm 3.7570 3.2921 -1.6923
Tm 6.2494 5.2841 -0.5563
Tm 1.2646 3.0567 0.5887
Tm 2.4924 6.3487 -1.1036
Tm 5.0217 1.9920 1.1360
Tm 1.2646 1.4335 5.5274
Tm 6.2494 3.6609 4.3824
Tm 5.0217 0.3688 6.0747
Tm 2.4924 4.7255 3.8351
Ir 4.7607 5.7082 -2.9344
Ir 2.7534 0.8760 -0.4503
Ir 1.0037 4.1680 -2.1426
Ir 6.5104 2.4161 -1.2420
Au 0.0000 1.4187 2.7597
Au 3.7570 4.7107 1.0673
Au 0.0000 5.2989 2.2114
Au 3.7570 2.0068 3.9038
```

## Properties
formation enthalpy at 0 K	-878	meV/atom
calculated total energy	-6.06	eV/atom
space-group type	Cmce, No. 64
size of the total moment	0.00	μB per atom

---

No. 2
Tm8Ir3Au2 | PBE | optimized geometry

extended XYZ file:
```
13
Lattice="-0.0124 -0.7268 4.7548 -4.3024 -8.5783 -1.3224 8.3300 1.2453 0.2121" Properties=species:S:1:pos:R:3 pbc="T T T"
Tm -0.7061 -5.0007 -0.7662
Tm 4.7337 -2.3323 -0.3441
Tm 1.4703 -1.4564 4.6471
Tm 2.5449 -6.6033 -1.0027
Tm 3.6200 -4.8486 1.7013
Tm 5.7933 -0.5227 2.3682
Tm -1.7781 -7.5370 1.2763
Tm 0.3952 -3.2112 1.9432
Ir -0.0062 -0.3634 2.3774
Ir -1.0795 -2.1583 -0.3327
Ir 5.1071 -5.1747 -0.7776
Au 3.1551 -1.9208 2.1476
Au 0.8601 -6.1389 1.4969
```

## Properties
formation enthalpy at 0 K	-737	meV/atom
calculated total energy	-6.04	eV/atom
space-group type	P2/m, No. 10
size of the total moment	0.00	μB per atom

---

No. 3
Tm6Ir2Au | PBE | optimized geometry

extended XYZ file:
```
18
Lattice="-3.5578 -2.0363 -5.1824 4.8815 -4.9508 -1.4060 -4.4228 -6.1948 6.4578" Properties=species:S:1:pos:R:3 pbc="T T T"
Tm 0.6576 -7.8482 -4.0789
Tm -2.2718 -8.5748 -1.3533
Tm -3.8113 -10.8884 0.6386
Tm -3.9249 -5.7530 0.0548
Tm -5.6853 -7.8425 2.1104
Tm -1.3718 -5.2346 -2.4342
Tm -3.7567 -5.3336 3.9483
Tm -0.8273 -4.6071 1.2228
Tm 0.7122 -2.2935 -0.7691
Tm 0.8258 -7.4288 -0.1854
Tm 2.5862 -5.3393 -2.2410
Tm -1.7274 -7.9472 2.3036
Ir -4.9519 -8.6106 -0.4652
Ir -0.8702 -9.9721 0.6073
Ir -2.2290 -3.2097 -0.7379
Ir 1.8528 -4.5712 0.3346
Au 0.6618 -3.4935 -3.2942
Au -2.2114 -3.0974 3.2289
```

## Properties
formation enthalpy at 0 K	-618	meV/atom
calculated total energy	-5.93	eV/atom
space-group type	P2_1/c, No. 14
size of the total moment	0.00	μB per atom

---

No. 4
YTmIrAu | PBE | optimized geometry

extended XYZ file:
```
4
Lattice="-4.4083 0.6305 -2.1390 -3.1569 -3.7869 -0.3150 -4.1055 -0.0284 2.7478" Properties=species:S:1:pos:R:3 pbc="T T T"
Y -8.7531 -2.3886 0.2204
Tm -2.9177 -0.7962 0.0735
Ir -5.8354 -1.5924 0.1469
Au 0.0000 0.0000 0.0000
```

## Properties
formation enthalpy at 0 K	-846	meV/atom
calculated total energy	-6.61	eV/atom
space-group type	F-43m, No. 216
size of the total moment	0.00	μB per atom